Entry 1:
# AcCdMoO6 GGA+U optimized geometry
data_AcCdMoO6
_space_group_name_H-M_alt 'C 1 2 1'
_space_group_IT_number 5
_cell_length_a 5.651
_cell_length_b 9.575
_cell_length_c 5.226
_cell_angle_alpha 90.00
_cell_angle_beta 91.80
_cell_angle_gamma 90.00
loop_
_space_group_symop_operation_xyz
'x,y,z'
'-x,y,-z'
'x+1/2,y+1/2,z'
'-x+1/2,y+1/2,-z'
loop_
_atom_site_label
_atom_site_type_symbol
_atom_site_fract_x
_atom_site_fract_y
_atom_site_fract_z
Ac1 Ac 0.000 0.000 0.000
Cd1 Cd 0.000 0.674 0.500
Mo1 Mo 0.000 0.333 0.500
O1 O 0.125 0.492 0.719
O2 O 0.143 0.206 0.729
O3 O 0.210 0.841 0.698
# **Spin magnetization**: 2.1 Bohr magnetons per cell
# **Calculated total energy**: -6.47 eV/atom

Entry 2:
# AcCd2MoO6 GGA+U optimized geometry
data_AcCd2MoO6
_space_group_name_H-M_alt 'P 1'
_space_group_IT_number 1
_cell_length_a 5.779
_cell_length_b 5.819
_cell_length_c 6.062
_cell_angle_alpha 61.41
_cell_angle_beta 62.92
_cell_angle_gamma 61.03
loop_
_space_group_symop_operation_xyz
'x,y,z'
loop_
_atom_site_label
_atom_site_type_symbol
_atom_site_fract_x
_atom_site_fract_y
_atom_site_fract_z
Ac1 Ac 0.000 0.000 0.000
Cd1 Cd 0.224 0.214 0.327
Cd2 Cd 0.720 0.738 0.815
Mo1 Mo 0.505 0.518 0.461
O1 O 0.148 0.766 0.646
O2 O 0.338 0.584 0.197
O3 O 0.399 0.162 0.662
O4 O 0.584 0.874 0.193
O5 O 0.729 0.428 0.662
O6 O 0.865 0.332 0.202
# **Spin magnetization**: 1.0 Bohr magnetons per cell
# **Calculated total energy**: -6.09 eV/atom

Entry 3:
# Ac2CdMoO8 GGA+U optimized geometry
data_Ac2CdMoO8
_space_group_name_H-M_alt 'P -1'
_space_group_IT_number 2
_cell_length_a 4.715
_cell_length_b 5.294
_cell_length_c 7.748
_cell_angle_alpha 86.95
_cell_angle_beta 86.55
_cell_angle_gamma 89.13
loop_
_space_group_symop_operation_xyz
'x,y,z'
'-x,-y,-z'
loop_
_atom_site_label
_atom_site_type_symbol
_atom_site_fract_x
_atom_site_fract_y
_atom_site_fract_z
Ac1 Ac 0.068 0.011 0.253
Cd1 Cd 0.500 0.500 0.500
Mo1 Mo 0.500 0.500 0.000
O1 O 0.091 0.390 0.981
O2 O 0.184 0.210 0.506
O3 O 0.392 0.646 0.215
O4 O 0.414 0.809 0.875
# **Spin magnetization**: 0.0 Bohr magnetons per cell
# **Calculated total energy**: -6.67 eV/atom